(w)
A relaxed GeOF3 crystal. Source: Alexandria via LeMat-Bulk, functional PBE-GGA.

```
data_GeOF3
_cell_length_a 3.975
_cell_length_b 3.975
_cell_length_c 3.975
_cell_angle_alpha 90.00
_cell_angle_beta 90.00
_cell_angle_gamma 90.00
_symmetry_space_group_name_H-M 'P 1'
_symmetry_Int_Tables_number 1
loop_
_symmetry_equiv_pos_as_xyz
'x,y,z'
loop_
_atom_site_label
_atom_site_fract_x
_atom_site_fract_y
_atom_site_fract_z
F1 0.500 0.000 0.000
F2 0.000 0.000 0.500
F3 0.000 0.500 0.000
O1 0.500 0.500 0.500
Ge1 0.000 0.000 0.000
```

Output
- SG: No. 221
- M_tot: 0.37 μB per atom
- V: 12.56 Å³/atom

***

(x)
A relaxed GeOF3 crystal. Source: Alexandria via LeMat-Bulk, functional PBE-GGA.

```
data_GeOF3
_cell_length_a 3.927
_cell_length_b 3.927
_cell_length_c 3.927
_cell_angle_alpha 90.00
_cell_angle_beta 90.00
_cell_angle_gamma 90.00
_symmetry_space_group_name_H-M 'P 1'
_symmetry_Int_Tables_number 1
loop_
_symmetry_equiv_pos_as_xyz
'x,y,z'
loop_
_atom_site_label
_atom_site_fract_x
_atom_site_fract_y
_atom_site_fract_z
O1 0.000 0.000 0.000
F1 0.000 0.500 0.000
F2 0.000 0.000 0.500
F3 0.500 0.000 0.000
Ge1 0.500 0.500 0.500
```

Output
- SG: No. 221
- M_tot: 0.00 μB per atom
- V: 12.12 Å³/atom

***

(y)
A relaxed GeOF3 crystal. Source: Alexandria via LeMat-Bulk, functional PBE-GGA.

```
data_GeOF3
_cell_length_a 6.205
_cell_length_b 7.022
_cell_length_c 4.957
_cell_angle_alpha 117.96
_cell_angle_beta 91.16
_cell_angle_gamma 69.90
_symmetry_space_group_name_H-M 'P 1'
_symmetry_Int_Tables_number 1
loop_
_symmetry_equiv_pos_as_xyz
'x,y,z'
loop_
_atom_site_label
_atom_site_fract_x
_atom_site_fract_y
_atom_site_fract_z
Ge1 0.377 0.300 0.908
Ge2 0.120 0.899 0.644
F1 0.384 0.874 0.482
F2 0.128 0.817 0.924
F3 0.095 0.202 0.939
F4 0.163 0.603 0.329
F5 0.521 0.178 0.137
F6 0.849 0.015 0.560
O1 0.824 0.503 0.623
O2 0.671 0.592 0.848
```

Output
- SG: No. 1
- M_tot: 0.20 μB per atom
- V: 17.65 Å³/atom

***

Stability ranking, top and bottom: (y) is the most stable and (x) is the least stable.